Material: NpMn2BiO8
Method: DFT, PBE+U
State: relaxed

Structure (CIF):
```
data_NpMn2BiO8
_space_group_name_H-M_alt 'C m m m'
_space_group_IT_number 65
_space_group_name_Hall '-C 2 2'
_cell_length_a 6.866
_cell_length_b 7.232
_cell_length_c 6.582
_cell_angle_alpha 90.00
_cell_angle_beta 90.00
_cell_angle_gamma 90.00
loop_
_atom_site_label
_atom_site_type_symbol
_atom_site_fract_x
_atom_site_fract_y
_atom_site_fract_z
Np1 Np 0.000 0.000 0.000
Mn1 Mn 0.000 0.500 0.251
Bi1 Bi 0.000 0.000 0.500
O1 O 0.000 0.191 0.218
O2 O 0.170 0.500 0.500
O3 O 0.189 0.500 0.000
```

## Properties
The spin magnetization is 8.0 μB/f.u. The calculation puts the calculated total energy at -185.7 eV per cell.